DFT (PBE) results for a relaxed structure of Sr2MnPtI.

Summary:
- Mass density: 4.822 g cm⁻³
- Formation energy (no corrections): 75 meV per atom
- Calculated total energy: -3.950 eV per atom

The structure in CIF format:
```
data_Sr2MnPtI
_cell_length_a 5.843
_cell_length_b 5.570
_cell_length_c 5.843
_cell_angle_alpha 90.00
_cell_angle_beta 90.00
_cell_angle_gamma 90.00
_space_group_name_H-M_alt 'P 1'
_space_group_IT_number 1
loop_
_space_group_symop_operation_xyz
'x,y,z'
loop_
_atom_site_label
_atom_site_fract_x
_atom_site_fract_y
_atom_site_fract_z
Mn1 0.500 0.500 0.500
Pt1 0.000 0.000 0.000
Sr1 0.500 0.000 0.000
I1 0.000 0.500 0.000
Sr2 0.000 0.000 0.500
```



DFT (PBE) results for a relaxed structure of Pu2MnI8.

Summary:
- Mass density: 5.422 g cm⁻³
- Formation energy (no corrections): -881 meV per atom
- Calculated total energy: -5.448 eV per atom

The structure in CIF format:
```
data_Pu2MnI8
_cell_length_a 4.124
_cell_length_b 10.398
_cell_length_c 11.326
_cell_angle_alpha 87.70
_cell_angle_beta 100.49
_cell_angle_gamma 90.00
_space_group_name_H-M_alt 'P 1'
_space_group_IT_number 1
loop_
_space_group_symop_operation_xyz
'x,y,z'
loop_
_atom_site_label
_atom_site_fract_x
_atom_site_fract_y
_atom_site_fract_z
I1 0.370 0.031 0.739
Pu1 0.854 0.269 0.708
Mn1 0.500 0.000 0.000
I2 0.753 0.705 0.506
I3 0.401 0.464 0.803
I4 0.002 0.194 0.004
I5 0.599 0.536 0.197
I6 0.998 0.806 0.996
I7 0.247 0.295 0.494
Pu2 0.146 0.731 0.292
I8 0.630 0.969 0.261
```



DFT (PBE) results for a relaxed structure of Rb2MnI.

Summary:
- Mass density: 2.624 g cm⁻³
- Energy above the most stable polymorph in this dataset: 0.07 eV per formula unit
- Formation energy (no corrections): 93 meV per atom
- Calculated total energy: -3.071 eV per atom

The structure in CIF format:
```
data_Rb2MnI
_cell_length_a 9.821
_cell_length_b 9.821
_cell_length_c 8.346
_cell_angle_alpha 53.96
_cell_angle_beta 53.96
_cell_angle_gamma 90.00
_space_group_name_H-M_alt 'P 1'
_space_group_IT_number 1
loop_
_space_group_symop_operation_xyz
'x,y,z'
loop_
_atom_site_label
_atom_site_fract_x
_atom_site_fract_y
_atom_site_fract_z
I1 0.750 0.250 0.500
I2 0.000 0.000 0.000
Mn1 0.500 0.500 0.000
Mn2 0.250 0.750 0.500
Rb1 0.375 0.362 0.750
Rb2 0.638 0.125 0.250
Rb3 0.875 0.888 0.750
Rb4 0.112 0.625 0.250
```



DFT (PBE) results for a relaxed structure of Rb2Mn3I8.

Summary:
- Mass density: 4.225 g cm⁻³
- Formation energy (no corrections): -585 meV per atom
- Calculated total energy: -3.803 eV per atom

The structure in CIF format:
```
data_Rb2Mn3I8
_cell_length_a 7.287
_cell_length_b 8.637
_cell_length_c 9.864
_cell_angle_alpha 115.96
_cell_angle_beta 106.07
_cell_angle_gamma 90.00
_space_group_name_H-M_alt 'P 1'
_space_group_IT_number 1
loop_
_space_group_symop_operation_xyz
'x,y,z'
loop_
_atom_site_label
_atom_site_fract_x
_atom_site_fract_y
_atom_site_fract_z
Rb1 0.328 0.259 0.517
Mn1 0.000 0.743 0.000
I1 0.876 0.091 0.181
I2 0.962 0.606 0.212
Rb2 0.672 0.741 0.483
I3 0.599 0.135 0.820
I4 0.038 0.394 0.788
Mn2 0.000 0.257 0.000
Mn3 0.500 0.000 0.000
I5 0.124 0.909 0.819
I6 0.599 0.685 0.820
I7 0.401 0.865 0.180
I8 0.401 0.315 0.180
```



DFT (PBE) results for a relaxed structure of RbMnI2.

Summary:
- Mass density: 3.820 g cm⁻³
- Energy above the most stable polymorph in this dataset: 0.56 eV per formula unit
- Formation energy (no corrections): -344 meV per atom
- Calculated total energy: -3.654 eV per atom

The structure in CIF format:
```
data_RbMnI2
_cell_length_a 4.316
_cell_length_b 4.316
_cell_length_c 10.910
_cell_angle_alpha 78.59
_cell_angle_beta 78.59
_cell_angle_gamma 60.00
_space_group_name_H-M_alt 'P 1'
_space_group_IT_number 1
loop_
_space_group_symop_operation_xyz
'x,y,z'
loop_
_atom_site_label
_atom_site_fract_x
_atom_site_fract_y
_atom_site_fract_z
I1 0.117 0.117 0.650
I2 0.883 0.883 0.350
Rb1 0.000 0.000 0.000
Mn1 0.500 0.500 0.500
```



DFT (PBE) results for a relaxed structure of RbMn2I.

Summary:
- Mass density: 3.889 g cm⁻³
- Energy above the most stable polymorph in this dataset: 1.48 eV per formula unit
- Formation energy (no corrections): 1026 meV per atom
- Calculated total energy: -4.189 eV per atom

The structure in CIF format:
```
data_RbMn2I
_cell_length_a 5.795
_cell_length_b 5.795
_cell_length_c 5.795
_cell_angle_alpha 60.00
_cell_angle_beta 60.00
_cell_angle_gamma 60.00
_space_group_name_H-M_alt 'P 1'
_space_group_IT_number 1
loop_
_space_group_symop_operation_xyz
'x,y,z'
loop_
_atom_site_label
_atom_site_fract_x
_atom_site_fract_y
_atom_site_fract_z
Rb1 0.000 0.000 0.000
I1 0.500 0.500 0.500
Mn1 0.750 0.750 0.750
Mn2 0.250 0.250 0.250
```



DFT (PBE) results for a relaxed structure of Rb2Mn2I5.

Summary:
- Mass density: 4.002 g cm⁻³
- Formation energy (no corrections): -710 meV per atom
- Calculated total energy: -3.824 eV per atom

The structure in CIF format:
```
data_Rb2Mn2I5
_cell_length_a 6.010
_cell_length_b 8.191
_cell_length_c 8.679
_cell_angle_alpha 105.89
_cell_angle_beta 90.00
_cell_angle_gamma 111.53
_space_group_name_H-M_alt 'P 1'
_space_group_IT_number 1
loop_
_space_group_symop_operation_xyz
'x,y,z'
loop_
_atom_site_label
_atom_site_fract_x
_atom_site_fract_y
_atom_site_fract_z
I1 0.000 0.000 0.000
I2 0.335 0.670 0.093
Rb1 0.401 0.802 0.699
Rb2 0.599 0.198 0.301
I3 0.665 0.330 0.907
I4 0.853 0.706 0.430
I5 0.147 0.294 0.570
Mn1 0.159 0.319 0.889
Mn2 0.841 0.681 0.111
```



DFT (PBE) results for a relaxed structure of Rb3Mn2I8.

Summary:
- Mass density: 3.744 g cm⁻³
- Formation energy (no corrections): -881 meV per atom
- Calculated total energy: -3.469 eV per atom

The structure in CIF format:
```
data_Rb3Mn2I8
_cell_length_a 8.192
_cell_length_b 8.192
_cell_length_c 11.554
_cell_angle_alpha 69.24
_cell_angle_beta 69.24
_cell_angle_gamma 60.00
_space_group_name_H-M_alt 'P 1'
_space_group_IT_number 1
loop_
_space_group_symop_operation_xyz
'x,y,z'
loop_
_atom_site_label
_atom_site_fract_x
_atom_site_fract_y
_atom_site_fract_z
I1 0.264 0.782 0.691
Mn1 0.405 0.405 0.785
I2 0.678 0.678 0.966
Rb1 0.000 0.000 0.000
I3 0.782 0.264 0.691
Mn2 0.595 0.595 0.215
Rb2 0.793 0.793 0.622
I4 0.736 0.736 0.309
I5 0.736 0.218 0.309
I6 0.264 0.264 0.691
I7 0.218 0.736 0.309
Rb3 0.207 0.207 0.378
I8 0.322 0.322 0.034
```



DFT (PBE) results for a relaxed structure of RbMn3I.

Summary:
- Mass density: 4.503 g cm⁻³
- Energy above the most stable polymorph in this dataset: 0.00 eV per formula unit
- Formation energy (no corrections): 1336 meV per atom
- Calculated total energy: -4.669 eV per atom

The structure in CIF format:
```
data_RbMn3I
_cell_length_a 5.181
_cell_length_b 5.181
_cell_length_c 5.181
_cell_angle_alpha 90.00
_cell_angle_beta 90.00
_cell_angle_gamma 90.00
_space_group_name_H-M_alt 'P 1'
_space_group_IT_number 1
loop_
_space_group_symop_operation_xyz
'x,y,z'
loop_
_atom_site_label
_atom_site_fract_x
_atom_site_fract_y
_atom_site_fract_z
Mn1 0.000 0.500 0.000
Mn2 0.500 0.000 0.000
Rb1 0.500 0.500 0.500
I1 0.000 0.000 0.000
Mn3 0.000 0.000 0.500
```



DFT (PBE) results for a relaxed structure of Rb3Mn2I9.

Summary:
- Mass density: 4.107 g cm⁻³
- Formation energy (no corrections): -819 meV per atom
- Calculated total energy: -3.332 eV per atom

The structure in CIF format:
```
data_Rb3Mn2I9
_cell_length_a 10.924
_cell_length_b 10.924
_cell_length_c 10.924
_cell_angle_alpha 77.27
_cell_angle_beta 77.27
_cell_angle_gamma 77.27
_space_group_name_H-M_alt 'P 1'
_space_group_IT_number 1
loop_
_space_group_symop_operation_xyz
'x,y,z'
loop_
_atom_site_label
_atom_site_fract_x
_atom_site_fract_y
_atom_site_fract_z
Rb1 0.084 0.416 0.750
I1 0.390 0.228 0.567
Rb2 0.916 0.584 0.250
I2 0.433 0.610 0.772
Mn1 0.169 0.169 0.169
I3 0.272 0.110 0.933
Rb3 0.584 0.250 0.916
I4 0.610 0.772 0.433
I5 0.589 0.911 0.750
I6 0.772 0.433 0.610
I7 0.067 0.728 0.890
Rb4 0.416 0.750 0.084
I8 0.911 0.750 0.589
I9 0.411 0.089 0.250
I10 0.728 0.890 0.067
I11 0.933 0.272 0.110
Mn2 0.331 0.331 0.331
Rb5 0.750 0.084 0.416
Mn3 0.831 0.831 0.831
I12 0.089 0.250 0.411
I13 0.250 0.411 0.089
I14 0.110 0.933 0.272
Rb6 0.250 0.916 0.584
I15 0.567 0.390 0.228
I16 0.750 0.589 0.911
I17 0.890 0.067 0.728
Mn4 0.669 0.669 0.669
I18 0.228 0.567 0.390
```



Please write out number 8 again, unchanged.
DFT (PBE) results for a relaxed structure of Rb3Mn2I8.

Summary:
- Mass density: 3.744 g cm⁻³
- Formation energy (no corrections): -881 meV per atom
- Calculated total energy: -3.469 eV per atom

The structure in CIF format:
```
data_Rb3Mn2I8
_cell_length_a 8.192
_cell_length_b 8.192
_cell_length_c 11.554
_cell_angle_alpha 69.24
_cell_angle_beta 69.24
_cell_angle_gamma 60.00
_space_group_name_H-M_alt 'P 1'
_space_group_IT_number 1
loop_
_space_group_symop_operation_xyz
'x,y,z'
loop_
_atom_site_label
_atom_site_fract_x
_atom_site_fract_y
_atom_site_fract_z
I1 0.264 0.782 0.691
Mn1 0.405 0.405 0.785
I2 0.678 0.678 0.966
Rb1 0.000 0.000 0.000
I3 0.782 0.264 0.691
Mn2 0.595 0.595 0.215
Rb2 0.793 0.793 0.622
I4 0.736 0.736 0.309
I5 0.736 0.218 0.309
I6 0.264 0.264 0.691
I7 0.218 0.736 0.309
Rb3 0.207 0.207 0.378
I8 0.322 0.322 0.034
```



Q: The lowest mass density belongs to which entry?
A: Rb2MnI



Q: What is the formation energy (no corrections) in the third record?
A: 93 meV per atom